Sb2W3: optimized geometry, GGA-PBE.

The structure in POSCAR format:
```
Sb2W3
1.0
7.040 -3.686 3.377
4.787 0.023 6.492
-0.842 -4.838 2.106
Sb W
4 6
Direct
0.878 0.206 0.492 Sb
0.424 0.492 0.206 Sb
0.044 0.372 0.826 Sb
0.758 0.826 0.372 Sb
0.428 0.786 0.539 W
0.247 0.539 0.786 W
0.464 0.822 0.003 W
0.711 0.003 0.822 W
0.023 0.977 0.977 W
0.273 0.227 0.227 W
```

Properties
ΔE_f (raw): 0.608 eV per atom
offset from the most stable computed form: 0.000 eV/atom
calculated total energy: -8.813 eV per atom
space group: Fdd2